Entry 1:
The following is a SCAN calculation of Hf2CuCl at its PBEsol-relaxed geometry, from the Alexandria database.

Properties
The total energy comes out at -148.92 eV per cell. As for the total magnetization: 0.000 μB/f.u. The value obtained for the density of states at the Fermi level is 1.630 states/eV/cell.

Geometry as extended XYZ:
```
4
Lattice="4.559 0.000 0.000 2.279 3.948 0.000 2.279 1.316 3.722" Properties=species:S:1:pos:R:3 pbc="T T T"
Hf 2.279 1.316 0.931
Hf 6.838 3.948 2.792
Cu 4.559 2.632 1.861
Cl 0.000 0.000 0.000
```

=====

Entry 2:
The following is a SCAN calculation of HfZn2CuCl at its PBEsol-relaxed geometry, from the Alexandria database.

Properties
The total energy comes out at -112.06 eV per cell. As for the total magnetization: 0.000 μB/f.u. The value obtained for the density of states at the Fermi level is 2.196 states/eV/cell.

Geometry as extended XYZ:
```
5
Lattice="4.466 0.000 0.000 0.000 4.466 0.000 0.000 0.000 4.913" Properties=species:S:1:pos:R:3 pbc="T T T"
Zn 0.000 2.233 0.000
Zn 2.233 0.000 0.000
Hf 0.000 0.000 2.456
Cu 0.000 0.000 0.000
Cl 2.233 2.233 2.456
```

=====

Entry 3:
The following is a SCAN calculation of Cu2HgCl at its PBEsol-relaxed geometry, from the Alexandria database.

Properties
The total energy comes out at -106.21 eV per cell. As for the total magnetization: 0.000 μB/f.u. The value obtained for the density of states at the Fermi level is 0.873 states/eV/cell.

Geometry as extended XYZ:
```
4
Lattice="-1.654 2.585 -0.129 -0.083 -2.003 -2.492 -6.109 -3.749 3.216" Properties=species:S:1:pos:R:3 pbc="T T T"
Cl -0.827 1.293 -0.064
Cu -4.689 -2.877 2.469
Cu -1.420 -0.872 0.748
Hg -3.882 -0.582 1.544
```

=====

Entry 4:
The following is a SCAN calculation of Cu2HgCl at its PBEsol-relaxed geometry, from the Alexandria database.

Properties
The total energy comes out at -105.99 eV per cell. As for the total magnetization: 0.000 μB/f.u. The value obtained for the density of states at the Fermi level is 0.614 states/eV/cell.

Geometry as extended XYZ:
```
4
Lattice="-1.176 -2.901 1.086 1.334 -1.694 -3.080 4.908 -0.989 2.670" Properties=species:S:1:pos:R:3 pbc="T T T"
Cl 3.121 -1.341 -0.205
Cu 0.000 0.000 0.000
Cu 1.866 -1.945 1.878
Hg 0.079 -2.297 -0.997
```

=====

Entry 5:
The following is a SCAN calculation of CuHgCl at its PBEsol-relaxed geometry, from the Alexandria database.

Properties
The total energy comes out at -91.62 eV per cell. As for the total magnetization: 0.000 μB/f.u. The value obtained for the density of states at the Fermi level is 0.533 states/eV/cell.

Geometry as extended XYZ:
```
3
Lattice="-3.047 -0.301 0.522 0.593 -1.015 2.875 1.026 6.084 0.258" Properties=species:S:1:pos:R:3 pbc="T T T"
Hg -0.124 3.330 1.201
Cu -1.289 0.993 2.294
Cl -0.016 0.444 0.160
```

=====

Entry 6:
The following is a SCAN calculation of CuHg2Cl at its PBEsol-relaxed geometry, from the Alexandria database.

Properties
The total energy comes out at -158.72 eV per cell. As for the total magnetization: 0.000 μB/f.u. The value obtained for the density of states at the Fermi level is 1.989 states/eV/cell.

Geometry as extended XYZ:
```
4
Lattice="3.000 0.000 0.000 0.000 5.097 0.000 0.000 0.000 5.097" Properties=species:S:1:pos:R:3 pbc="T T T"
Hg 0.000 0.000 2.548
Hg 0.000 2.548 0.000
Cu 1.500 0.000 0.000
Cl 1.500 2.548 2.548
```

=====

Entry 7:
The following is a SCAN calculation of CuHgCl at its PBEsol-relaxed geometry, from the Alexandria database.

Properties
The total energy comes out at -92.24 eV per cell. As for the total magnetization: 0.000 μB/f.u. The value obtained for the density of states at the Fermi level is 0.204 states/eV/cell.

Geometry as extended XYZ:
```
3
Lattice="3.475 0.000 0.000 -1.737 3.009 0.000 0.000 0.000 5.604" Properties=species:S:1:pos:R:3 pbc="T T T"
Hg 1.737 1.003 2.148
Cu 0.000 2.006 3.912
Cl 0.000 0.000 5.149
```

=====

Entry 8:
The following is a SCAN calculation of Cu2HgCl at its PBEsol-relaxed geometry, from the Alexandria database.

Properties
The total energy comes out at -105.94 eV per cell. As for the total magnetization: 0.000 μB/f.u. The value obtained for the density of states at the Fermi level is 0.871 states/eV/cell.

Geometry as extended XYZ:
```
4
Lattice="-2.655 1.706 -0.837 -1.335 -2.698 -1.265 -2.556 -1.297 5.461" Properties=species:S:1:pos:R:3 pbc="T T T"
Cl -3.273 -1.144 1.679
Cu -1.994 -1.012 4.261
Cu -0.562 -0.285 1.200
Hg -1.995 -0.496 -1.051
```

=====

Entry 9:
The following is a SCAN calculation of Cu2HgCl at its PBEsol-relaxed geometry, from the Alexandria database.

Properties
The total energy comes out at -106.14 eV per cell. As for the total magnetization: 0.000 μB/f.u. The value obtained for the density of states at the Fermi level is 0.625 states/eV/cell.

Geometry as extended XYZ:
```
4
Lattice="2.950 0.000 0.000 1.475 5.000 0.108 1.475 1.431 4.792" Properties=species:S:1:pos:R:3 pbc="T T T"
Cl 1.475 3.215 2.450
Cu 2.950 4.713 3.591
Cu 2.950 1.718 1.309
Hg 1.475 0.000 0.000
```

=====

Entry 10:
The following is a SCAN calculation of Cu2HgCl at its PBEsol-relaxed geometry, from the Alexandria database.

Properties
The total energy comes out at -106.34 eV per cell. As for the total magnetization: 0.000 μB/f.u. The value obtained for the density of states at the Fermi level is 1.099 states/eV/cell.

Geometry as extended XYZ:
```
4
Lattice="3.110 0.000 0.000 0.000 3.110 0.000 0.000 0.000 7.030" Properties=species:S:1:pos:R:3 pbc="T T T"
Cl 1.555 1.555 5.924
Cu 0.000 0.000 0.150
Cu 1.555 1.555 1.455
Hg 0.000 0.000 3.015
```

=====

Entry 11:
The following is a SCAN calculation of CuHg2Cl at its PBEsol-relaxed geometry, from the Alexandria database.

Properties
The total energy comes out at -159.22 eV per cell. As for the total magnetization: 0.000 μB/f.u. The value obtained for the density of states at the Fermi level is 0.480 states/eV/cell.

Geometry as extended XYZ:
```
4
Lattice="3.427 0.000 0.000 0.000 5.061 0.075 0.000 -2.256 4.532" Properties=species:S:1:pos:R:3 pbc="T T T"
Hg 0.000 -1.128 2.266
Hg 0.000 2.531 0.037
Cu 1.714 0.000 0.000
Cl 1.714 1.403 2.303
```

=====

Entry 12:
The following is a SCAN calculation of CuHgSCl2 at its PBEsol-relaxed geometry, from the Alexandria database.

Properties
The total energy comes out at -109.16 eV per cell. As for the total magnetization: 0.000 μB/f.u. The value obtained for the density of states at the Fermi level is 2.006 states/eV/cell.

Geometry as extended XYZ:
```
5
Lattice="-4.196 0.004 -1.580 1.539 -1.007 -4.089 -0.391 -4.761 1.026" Properties=species:S:1:pos:R:3 pbc="T T T"
S -0.195 -2.380 0.513
Hg -1.524 -2.882 -2.322
Cu 0.000 0.000 0.000
Cl 0.769 -0.504 -2.045
Cl -2.098 0.002 -0.790
```